(1)
Computed, not measured: a relaxed BaTcO3 crystal at the PBEsol level of DFT.

Unit cell a=5.7292 b=5.7292 c=13.8485 alpha=90.00 beta=90.00 gamma=120.00
Site moments in Bohr magnetons follow the coordinates.
Element x y z (fractional)
Tc1 0.0000 0.0000 0.0000  -1.47
Tc2 0.6667 0.3333 0.3395  1.12
Tc3 0.3333 0.6667 0.8395  1.12
Tc4 0.3333 0.6667 0.6605  1.12
Tc5 0.6667 0.3333 0.1605  1.12
Tc6 0.0000 0.0000 0.5000  -1.47
O1 0.1654 0.3308 0.9185  0.00
O2 0.8346 0.6692 0.0815  0.00
O3 0.4932 0.9863 0.7500  0.06
O4 0.1654 0.8346 0.9185  0.00
O5 0.0137 0.5068 0.7500  0.06
O6 0.3308 0.1654 0.0815  0.00
O7 0.3308 0.1654 0.4185  0.00
O8 0.1654 0.8346 0.5815  0.00
O9 0.5068 0.0137 0.2500  0.06
O10 0.4932 0.5068 0.7500  0.06
O11 0.5068 0.4932 0.2500  0.06
O12 0.8346 0.1654 0.0815  0.00
O13 0.8346 0.1654 0.4185  0.00
O14 0.6692 0.8346 0.9185  0.00
O15 0.8346 0.6692 0.4185  0.00
O16 0.9863 0.4932 0.2500  0.06
O17 0.1654 0.3308 0.5815  0.00
O18 0.6692 0.8346 0.5815  0.00
Ba1 0.0000 0.0000 0.2500  0.00
Ba2 0.6667 0.3333 0.5923  0.00
Ba3 0.0000 0.0000 0.7500  0.00
Ba4 0.3333 0.6667 0.4077  0.00
Ba5 0.3333 0.6667 0.0923  0.00
Ba6 0.6667 0.3333 0.9077  0.00

Its symmetry is P6_3/mmc, No. 194. The crystal system is hexagonal.

(2)
Computed, not measured: a relaxed BaTc3O crystal at the PBEsol level of DFT.

Unit cell a=4.2857 b=4.2857 c=4.2857 alpha=90.00 beta=90.00 gamma=90.00
Site moments in Bohr magnetons follow the coordinates.
Element x y z (fractional)
Ba1 0.5000 0.5000 0.5000  0.06
Tc1 0.0000 0.5000 0.0000  0.69
Tc2 0.0000 0.0000 0.5000  0.69
Tc3 0.5000 0.0000 0.0000  0.69
O1 0.0000 0.0000 0.0000  -0.01

Its symmetry is Pm-3m, No. 221. The crystal system is cubic.

(3)
Computed, not measured: a relaxed BaTcO2 crystal at the PBEsol level of DFT.

Unit cell a=4.8636 b=4.8636 c=6.7116 alpha=111.24 beta=111.24 gamma=90.00
Element x y z (fractional)
O1 0.1250 0.2779 0.7500
O2 0.5279 0.8750 0.2500
O3 0.7221 0.3750 0.2500
O4 0.6250 0.4721 0.7500
Ba1 0.2500 0.7500 0.5000
Ba2 0.0000 0.0000 0.0000
Tc1 0.7500 0.2500 0.5000
Tc2 0.5000 0.5000 0.0000

Its symmetry is I-42d, No. 122. The crystal system is tetragonal.

(4)
Computed, not measured: a relaxed BaZnTc2O crystal at the PBEsol level of DFT.

Unit cell a=4.3570 b=5.1755 c=5.1755 alpha=90.00 beta=90.00 gamma=90.00
Site moments in Bohr magnetons follow the coordinates.
Element x y z (fractional)
Tc1 0.0000 0.0000 0.5000  2.32
Tc2 0.0000 0.5000 0.0000  2.32
Ba1 0.0000 0.0000 0.0000  0.03
O1 0.5000 0.0000 0.0000  0.20
Zn1 0.5000 0.5000 0.5000  -0.06

Its symmetry is P4/mmm, No. 123. The crystal system is tetragonal.

(5)
Computed, not measured: a relaxed BaTeO3 crystal at the PBEsol level of DFT.

Unit cell a=4.5416 b=5.9701 c=7.0595 alpha=90.00 beta=106.13 gamma=90.00
Element x y z (fractional)
O1 0.8230 0.4875 0.1745
O2 0.8230 0.0125 0.1745
O3 0.3581 0.2500 0.3937
O4 0.6419 0.7500 0.6063
O5 0.1770 0.9875 0.8255
O6 0.1770 0.5125 0.8255
Ba1 0.6639 0.2500 0.8139
Ba2 0.3361 0.7500 0.1861
Te1 0.9279 0.2500 0.3566
Te2 0.0721 0.7500 0.6434

Its symmetry is P2_1/m, No. 11. The crystal system is monoclinic.

(6)
Computed, not measured: a relaxed BaTe3O7 crystal at the PBEsol level of DFT.

Unit cell a=5.2767 b=10.2916 c=13.3202 alpha=101.01 beta=90.00 gamma=90.00
Element x y z (fractional)
Te1 0.7924 0.9866 0.9097
Te2 0.7076 0.4866 0.4097
Te3 0.7674 0.2880 0.1083
Te4 0.2326 0.7120 0.8917
Te5 0.2220 0.9691 0.7068
Te6 0.2076 0.0134 0.0903
Te7 0.2780 0.4691 0.2068
Te8 0.7326 0.7880 0.6083
Te9 0.2924 0.5134 0.5903
Te10 0.7780 0.0309 0.2932
Te11 0.2674 0.2120 0.3917
Te12 0.7220 0.5309 0.7932
O1 0.5218 0.5784 0.9175
O2 0.6418 0.5115 0.2663
O3 0.1475 0.0316 0.9313
O4 0.9812 0.4329 0.0920
O5 0.8525 0.9684 0.0687
O6 0.8783 0.7968 0.8745
O7 0.9782 0.0784 0.4175
O8 0.7745 0.3523 0.7916
O9 0.1217 0.2032 0.1255
O10 0.8582 0.0115 0.7663
O11 0.6475 0.4684 0.5687
O12 0.0218 0.9216 0.5825
O13 0.5188 0.9329 0.5920
O14 0.3525 0.5316 0.4313
O15 0.2745 0.1477 0.7084
O16 0.6217 0.2968 0.3745
O17 0.2255 0.6477 0.2084
O18 0.2385 0.2871 0.5322
O19 0.2615 0.7871 0.0322
O20 0.3783 0.7032 0.6255
O21 0.4782 0.4216 0.0825
O22 0.3582 0.4885 0.7337
O23 0.4812 0.0671 0.4080
O24 0.7615 0.7129 0.4678
O25 0.7255 0.8523 0.2916
O26 0.1418 0.9885 0.2337
O27 0.0188 0.5671 0.9080
O28 0.7385 0.2129 0.9678
Ba1 0.7605 0.6799 0.1072
Ba2 0.2605 0.8201 0.3928
Ba3 0.2395 0.3201 0.8928
Ba4 0.7395 0.1799 0.6072

Its symmetry is P2_1/c, No. 14. The crystal system is monoclinic.

(7)
Computed, not measured: a relaxed Ba3Te4O11 crystal at the PBEsol level of DFT.

Unit cell a=7.9846 b=9.3164 c=9.9825 alpha=97.48 beta=111.46 gamma=103.46
Element x y z (fractional)
Te1 0.4213 0.1854 0.5356
Te2 0.9169 0.1077 0.2984
Te3 0.4687 0.3109 0.9359
Te4 0.9391 0.2374 0.7163
Te5 0.5313 0.6891 0.0641
Te6 0.5787 0.8146 0.4644
Te7 0.0609 0.7626 0.2837
Te8 0.0831 0.8923 0.7016
O1 0.5925 0.6876 0.8994
O2 0.7482 0.6418 0.1843
O3 0.6035 0.9017 0.1349
O4 0.8531 0.7306 0.5782
O5 0.1469 0.2694 0.4218
O6 0.9270 0.3140 0.8946
O7 0.5338 0.7797 0.6293
O8 0.0764 0.5956 0.3695
O9 0.0035 0.0439 0.1552
O10 0.9965 0.9561 0.8448
O11 0.0730 0.6860 0.1054
O12 0.4751 0.6172 0.3409
O13 0.2075 0.7671 0.8057
O14 0.5249 0.3828 0.6591
O15 0.9236 0.4044 0.6305
O16 0.6570 0.1237 0.6311
O17 0.7925 0.2329 0.1943
O18 0.2518 0.3582 0.8157
O19 0.3430 0.8763 0.3689
O20 0.4075 0.3124 0.1006
O21 0.3965 0.0983 0.8651
O22 0.4662 0.2203 0.3707
Ba1 0.1503 0.4027 0.1803
Ba2 0.8497 0.5973 0.8197
Ba3 0.7226 0.4553 0.3680
Ba4 0.2774 0.5447 0.6320
Ba5 0.3092 0.0116 0.1125
Ba6 0.6908 0.9884 0.8875

Its symmetry is P-1, No. 2. The crystal system is triclinic.

(8)
Computed, not measured: a relaxed BaTe2O crystal at the PBEsol level of DFT.

Unit cell a=5.5426 b=5.5426 c=7.3638 alpha=67.89 beta=67.89 gamma=60.00
Element x y z (fractional)
Te1 0.0996 0.0996 0.7013
Te2 0.9004 0.9004 0.2987
Ba1 0.5000 0.5000 0.5000
O1 0.0000 0.0000 0.0000

Its symmetry is R-3m, No. 166. The crystal system is trigonal.

(9)
Computed, not measured: a relaxed BaTeO4 crystal at the PBEsol level of DFT.

Unit cell a=5.0779 b=5.9627 c=13.6444 alpha=90.00 beta=90.00 gamma=90.00
Element x y z (fractional)
O1 0.1463 0.7904 0.3384
O2 0.9266 0.1768 0.4594
O3 0.0734 0.8232 0.5406
O4 0.3537 0.2096 0.3384
O5 0.4266 0.1768 0.5406
O6 0.6463 0.7904 0.6616
O7 0.3537 0.2904 0.8384
O8 0.4266 0.3232 0.0406
O9 0.1463 0.7096 0.8384
O10 0.5734 0.8232 0.4594
O11 0.8537 0.2096 0.6616
O12 0.5734 0.6768 0.9594
O13 0.0734 0.6768 0.0406
O14 0.6463 0.7096 0.1616
O15 0.9266 0.3232 0.9594
O16 0.8537 0.2904 0.1616
Ba1 0.2500 0.0000 0.1641
Ba2 0.7500 0.0000 0.8359
Ba3 0.2500 0.5000 0.6641
Ba4 0.7500 0.5000 0.3359
Te1 0.2500 0.0000 0.4326
Te2 0.2500 0.5000 0.9326
Te3 0.7500 0.0000 0.5674
Te4 0.7500 0.5000 0.0674

Its symmetry is Pbcn, No. 60. The crystal system is orthorhombic.

(10)
Computed, not measured: a relaxed Ba2TeO crystal at the PBEsol level of DFT.

Unit cell a=5.0330 b=5.0330 c=9.9879 alpha=90.00 beta=90.00 gamma=90.00
Element x y z (fractional)
Te1 0.0000 0.5000 0.7984
Te2 0.5000 0.0000 0.2016
O1 0.5000 0.0000 0.5889
O2 0.0000 0.5000 0.4111
Ba1 0.5000 0.0000 0.8350
Ba2 0.0000 0.0000 0.5000
Ba3 0.5000 0.5000 0.5000
Ba4 0.0000 0.5000 0.1650

Its symmetry is P4/nmm, No. 129. The crystal system is tetragonal.

(11)
Computed, not measured: a relaxed Ba2TeO crystal at the PBEsol level of DFT.

Unit cell a=6.9923 b=6.9923 c=6.9923 alpha=103.19 beta=112.70 gamma=112.70
Element x y z (fractional)
Ba1 0.9087 0.5337 0.1250
Ba2 0.4087 0.8750 0.7837
Ba3 0.0913 0.2163 0.6250
Ba4 0.5913 0.3750 0.4663
Te1 0.5000 0.7500 0.2500
Te2 0.0000 0.0000 0.0000
O1 0.5000 0.2500 0.7500
O2 0.0000 0.5000 0.5000

Its symmetry is I-42d, No. 122. The crystal system is tetragonal.

(12)
Computed, not measured: a relaxed BaTe4O9 crystal at the PBEsol level of DFT.

Unit cell a=4.4559 b=10.0765 c=21.4412 alpha=85.16 beta=84.03 gamma=77.23
Element x y z (fractional)
Te1 0.4636 0.0578 0.7170
Te2 0.7775 0.6586 0.5123
Te3 0.1136 0.9253 0.1538
Te4 0.7617 0.5578 0.2170
Te5 0.5364 0.9422 0.2830
Te6 0.7011 0.5611 0.0469
Te7 0.3090 0.9389 0.4531
Te8 0.1926 0.5747 0.3462
Te9 0.6910 0.0611 0.5469
Te10 0.0517 0.1586 0.0123
Te11 0.9483 0.8414 0.9877
Te12 0.2989 0.4389 0.9531
Te13 0.2383 0.4422 0.7830
Te14 0.8864 0.0747 0.8462
Te15 0.2225 0.3414 0.4877
Te16 0.8074 0.4253 0.6538
O1 0.9923 0.5437 0.4436
O2 0.1110 0.2940 0.9349
O3 0.4929 0.8699 0.7245
O4 0.6691 0.6131 0.6395
O5 0.9216 0.8869 0.8605
O6 0.5393 0.0816 0.4489
O7 0.3159 0.0654 0.8176
O8 0.6636 0.4342 0.7484
O9 0.3398 0.2060 0.5651
O10 0.4252 0.4717 0.8627
O11 0.3638 0.7640 0.9701
O12 0.0077 0.4563 0.5564
O13 0.0208 0.0436 0.9436
O14 0.7595 0.0283 0.6372
O15 0.2405 0.9717 0.3628
O16 0.6362 0.2360 0.0299
O17 0.3309 0.3869 0.3604
O18 0.1538 0.9342 0.2484
O19 0.4607 0.9184 0.5511
O20 0.6602 0.7940 0.4349
O21 0.6841 0.9346 0.1824
O22 0.0784 0.1131 0.1395
O23 0.9792 0.9564 0.0564
O24 0.8890 0.7060 0.0651
O25 0.8462 0.0658 0.7516
O26 0.0874 0.6301 0.7755
O27 0.9021 0.2640 0.4701
O28 0.0697 0.4184 0.0511
O29 0.8010 0.5653 0.3176
O30 0.3364 0.5658 0.2516
O31 0.5071 0.1301 0.2755
O32 0.5748 0.5283 0.1373
O33 0.9303 0.5816 0.9489
O34 0.9126 0.3699 0.2245
O35 0.1990 0.4347 0.6824
O36 0.0979 0.7360 0.5299
Ba1 0.9005 0.2369 0.3410
Ba2 0.5215 0.7369 0.8410
Ba3 0.0995 0.7631 0.6590
Ba4 0.4785 0.2631 0.1590

Its symmetry is C2/c, No. 15. The crystal system is monoclinic.

(13)
Computed, not measured: a relaxed BaTiO2 crystal at the PBEsol level of DFT.

Unit cell a=5.0573 b=5.0573 c=6.5291 alpha=112.79 beta=112.79 gamma=90.00
Element x y z (fractional)
Ti1 0.5000 0.5000 0.0000
Ti2 0.7500 0.2500 0.5000
Ba1 0.0000 0.0000 0.0000
Ba2 0.2500 0.7500 0.5000
O1 0.7135 0.3750 0.2500
O2 0.1250 0.2865 0.7500
O3 0.6250 0.4635 0.7500
O4 0.5365 0.8750 0.2500

Its symmetry is I-42d, No. 122. The crystal system is tetragonal.

(14)
Computed, not measured: a relaxed BaTi6O11 crystal at the PBEsol level of DFT.

Unit cell a=7.6441 b=7.6441 c=14.1187 alpha=90.00 beta=90.00 gamma=98.39
Element x y z (fractional)
Ti1 0.5467 0.7980 0.8200
Ti2 0.6960 0.9463 0.1765
Ti3 0.7569 0.7569 0.0052
Ti4 0.4533 0.2020 0.3200
Ti5 0.3407 0.8125 0.3532
Ti6 0.1875 0.6593 0.8532
Ti7 0.5064 0.0023 0.5050
Ti8 0.9463 0.6960 0.1765
Ti9 0.8125 0.3407 0.3532
Ti10 0.0023 0.5064 0.5050
Ti11 0.7980 0.5467 0.8200
Ti12 0.6593 0.1875 0.8532
Ti13 0.3222 0.8246 0.1549
Ti14 0.2431 0.2431 0.5052
Ti15 0.0537 0.3040 0.6765
Ti16 0.4936 0.9977 0.0050
Ti17 0.9202 0.9202 0.6638
Ti18 0.8246 0.3222 0.1549
Ti19 0.3040 0.0537 0.6765
Ti20 0.1754 0.6778 0.6549
Ti21 0.2020 0.4533 0.3200
Ti22 0.9977 0.4936 0.0050
Ti23 0.0798 0.0798 0.1638
Ti24 0.6778 0.1754 0.6549
O1 0.9147 0.9147 0.0896
O2 0.3829 0.3829 0.4026
O3 0.7591 0.7591 0.2462
O4 0.2192 0.4633 0.5818
O5 0.3517 0.8410 0.9108
O6 0.7496 0.7496 0.7434
O7 0.4633 0.2192 0.5818
O8 0.5367 0.7808 0.0818
O9 0.3697 0.6540 0.7525
O10 0.4660 0.2049 0.9256
O11 0.9678 0.7062 0.9173
O12 0.0244 0.5234 0.7522
O13 0.2938 0.0322 0.4173
O14 0.0853 0.0853 0.5896
O15 0.5234 0.0244 0.7522
O16 0.6303 0.3460 0.2525
O17 0.2821 0.0362 0.0803
O18 0.8525 0.3467 0.5902
O19 0.9756 0.4766 0.2522
O20 0.0322 0.2938 0.4173
O21 0.6171 0.6171 0.9026
O22 0.3460 0.6303 0.2525
O23 0.1475 0.6533 0.0902
O24 0.8711 0.1260 0.2462
O25 0.5340 0.7951 0.4256
O26 0.6483 0.1590 0.4108
O27 0.1260 0.8711 0.2462
O28 0.4766 0.9756 0.2522
O29 0.6540 0.3697 0.7525
O30 0.9638 0.7179 0.5803
O31 0.0362 0.2821 0.0803
O32 0.6533 0.1475 0.0902
O33 0.3467 0.8525 0.5902
O34 0.1590 0.6483 0.4108
O35 0.8410 0.3517 0.9108
O36 0.7951 0.5340 0.4256
O37 0.2504 0.2504 0.2434
O38 0.2409 0.2409 0.7462
O39 0.8740 0.1289 0.7462
O40 0.2049 0.4660 0.9256
O41 0.7808 0.5367 0.0818
O42 0.7062 0.9678 0.9173
O43 0.7179 0.9638 0.5803
O44 0.1289 0.8740 0.7462
Ba1 0.4183 0.4183 0.0767
Ba2 0.5817 0.5817 0.5767
Ba3 0.0980 0.0980 0.9059
Ba4 0.9020 0.9020 0.4059

Its symmetry is Cmc2_1, No. 36. The crystal system is orthorhombic.

Number 1: raw total energy -239.6 eV/cell. Number 2: raw total energy -37.3 eV/cell. Number 3: raw total energy -58.3 eV/cell. Number 4: raw total energy -20.6 eV/cell. Number 5: raw total energy -62.2 eV/cell. Number 6: raw total energy -263.1 eV/cell. Number 7: raw total energy -221.6 eV/cell. Number 8: raw total energy -16.8 eV/cell. Number 9: raw total energy -150.0 eV/cell. Number 10: raw total energy -43.5 eV/cell. Number 11: raw total energy -42.5 eV/cell. Number 12: raw total energy -331.6 eV/cell. Number 13: raw total energy -60.4 eV/cell. Number 14: raw total energy -657.8 eV/cell.